VASP calculation (GGA-PBE) on a geometry-optimized Ni7Sn3H structure.

Summary:
- Total moment: 0.00 μB per formula unit
- E: -5.145 eV/atom

Cell: 7.289 7.289 5.428 Å, 90.00 90.00 90.00°
Space group P4/mbm (No. 127)
Symmetry-distinct sites (fractional):
Ni  0.000  0.000  0.000
Ni  0.130  0.370  0.261
Ni  0.167  0.667  0.500
Sn  0.000  0.000  0.500
Sn  0.167  0.667  0.000
H  0.000  0.500  0.500



VASP calculation (GGA-PBE) on a geometry-optimized Ni9Sn3H2 structure.

Summary:
- Total moment: 0.00 μB per formula unit
- E: -5.253 eV/atom

Cell: 5.3222 5.3222 6.4993 Å, 90.00 90.00 120.00°
Space group P-3m1 (No. 164)
Symmetry-distinct sites (fractional):
Ni  0.0000  0.5000  0.0000
Ni  0.1650  0.3299  0.6657
Sn  0.0000  0.0000  0.0000
Sn  0.3333  0.6667  0.3355
H  0.3333  0.6667  0.8263



VASP calculation (GGA-PBE) on a geometry-optimized Ni3SnH structure.

Summary:
- Total moment: 0.00 μB per formula unit
- Distance to the lowest polymorph of the same formula: 786 meV/atom
- E: -4.347 eV/atom

Cell: 4.239 4.239 18.350 Å, 90.00 90.00 90.00°
Space group I-4m2 (No. 119)
Symmetry-distinct sites (fractional):
Ni  0.000  0.000  0.146
Ni  0.000  0.245  0.625
Sn  0.000  0.000  0.500
Sn  0.000  0.500  0.750
H  0.000  0.500  0.138



VASP calculation (GGA-PBE) on a geometry-optimized Ni3SnH structure.

Summary:
- Total moment: 0.00 μB per formula unit
- Distance to the lowest polymorph of the same formula: 67 meV/atom
- E: -5.066 eV/atom

Cell: 5.268 7.869 5.261 Å, 90.00 90.00 90.00°
Space group Cmcm (No. 63)
Symmetry-distinct sites (fractional):
Ni  0.000  0.239  0.250
Ni  0.244  0.500  0.000
Sn  0.000  0.236  0.750
H  0.000  0.446  0.250



VASP calculation (GGA-PBE) on a geometry-optimized Ni3SnH structure.

Summary:
- Total moment: 0.00 μB per formula unit
- Distance to the lowest polymorph of the same formula: 61 meV/atom
- E: -5.072 eV/atom

Cell: 5.280 3.760 6.081 Å, 90.00 115.80 90.00°
Space group P2/m (No. 10)
Symmetry-distinct sites (fractional):
Ni  0.000  0.000  0.000
Ni  0.123  0.500  0.746
Ni  0.243  0.000  0.500
Ni  0.500  0.000  0.000
Sn  0.366  0.500  0.232
H  0.124  0.000  0.748



VASP calculation (GGA-PBE) on a geometry-optimized Ni5Sn2H structure.

Summary:
- Total moment: 0.00 μB per formula unit
- E: -5.179 eV/atom

Cell: 5.161 5.161 7.695 Å, 90.00 90.00 90.00°
Space group I4mm (No. 107)
Symmetry-distinct sites (fractional):
Ni  0.000  0.000  0.000
Ni  0.249  0.249  0.752
Sn  0.000  0.500  0.002
H  0.000  0.000  0.250



| no. | density of states at the Fermi level (states/eV per atom) |
| --- | --- |
| 1 | 0.558 |
| 2 | 0.565 |
| 3 | 1.005 |
| 4 | 0.586 |
| 5 | 0.543 |
| 6 | 0.530 |